# KCaEuSeO6

A geometry-optimized KCaEuSeO6 structure (PBE, Alexandria).

Unit cell a=5.728 b=5.728 c=5.728 alpha=60.00 beta=60.00 gamma=60.00
Element x y z (fractional)
K 0.000 0.000 0.000
Ca 0.250 0.250 0.250
Eu 0.500 0.500 0.500
Se 0.750 0.750 0.750
O 0.526 0.526 0.974
O 0.526 0.974 0.526
O 0.526 0.974 0.974
O 0.974 0.526 0.526
O 0.974 0.526 0.974
O 0.974 0.974 0.526

Results
**Crystal system**: cubic
**Space group**: F-43m (216)
**Total moment**: 0.596 μB/atom
**Uncorrected formation energy**: -1784.8 meV per atom